No. 1
DFT (PBE) results for YTh3P4 after structural relaxation.

Properties
size of the total moment	0.00	μB/f.u.
energy of formation from the pure elements	-1.57	eV/atom

a = 5.8221 Å, b = 5.8221 Å, c = 5.8221 Å
α = 90.00°, β = 90.00°, γ = 90.00°
With the nearest neighbours (Å) after each atom.
Sites, in units of the cell vectors:
Y: 0.0000 0.0000 0.0000  6 P 2.91
Th: 0.0000 0.5000 0.5000  6 P 2.91
Th: 0.5000 0.0000 0.5000  6 P 2.91
Th: 0.5000 0.5000 0.0000  6 P 2.91
P: 0.0000 0.0000 0.5000  4 Th 2.91, 2 Y 2.91
P: 0.0000 0.5000 0.0000  4 Th 2.91, 2 Y 2.91
P: 0.5000 0.0000 0.0000  4 Th 2.91, 2 Y 2.91
P: 0.5000 0.5000 0.5000  6 Th 2.91



No. 2
DFT (PBE) results for TiNbSe2Br after structural relaxation.

Properties
size of the total moment	0.25	μB/f.u.
uncorrected formation energy	0.2479	eV per atom

a = 5.0676 Å, b = 5.0676 Å, c = 5.0802 Å
α = 90.00°, β = 90.00°, γ = 90.00°
With the nearest neighbours (Å) after each atom.
Sites, in units of the cell vectors:
Ti: 0.0000 0.0000 0.0000  4 Br 3.58, 8 Se 3.59
Nb: 0.5000 0.5000 0.5000  4 Se 2.53, 2 Br 2.54
Se: 0.0000 0.5000 0.5000  2 Nb 2.53
Se: 0.5000 0.0000 0.5000  2 Nb 2.53
Br: 0.5000 0.5000 0.0000  2 Nb 2.54



One value per record, in order, for DFT total energy: -62.922, -25.367 eV per formula unit.